Below is crystalline LiFeF4 at its relaxed geometry, with properties calculated at the PBE+U level.

Cell: 7.566 8.966 10.686 Å, 90.00 90.00 90.00°
Space group Pbca (No. 61)
Unique sites:
Li1 0.208 0.132 0.066
Fe1 0.083 0.061 0.741
F1 0.058 0.229 0.642
F2 0.065 0.608 0.141
F3 0.156 0.545 0.686
F4 0.173 0.072 0.903

## Properties
E ... -0.372 Ry/atom
Relative energy among the computed polymorphs ... 84 meV/atom
D(E_F) ... 0.00 states/eV per cell
Volume ... 15.102 Å³ per atom